# LaNd6Sn, relaxed, DFT PBE
# Energy of formation, eV/atom: -0.19
# Volume, Å³/cell: 264.6
# E, eV per atom: -4.88
data_LaNd6Sn
_cell_length_a 5.018
_cell_length_b 5.018
_cell_length_c 10.506
_cell_angle_alpha 90.00
_cell_angle_beta 90.00
_cell_angle_gamma 90.00
_space_group_name_H-M_alt 'P 4/m m m'
_space_group_IT_number 123
_space_group_name_Hall '-P 4 2'
loop_
_atom_site_label
_atom_site_type_symbol
_atom_site_fract_x
_atom_site_fract_y
_atom_site_fract_z
_atom_site_occupancy
La1 La 0.000 0.000 0.000 1
Nd1 Nd 0.000 0.500 0.263 1
Nd2 Nd 0.500 0.500 0.000 1
Nd3 Nd 0.500 0.500 0.500 1
Sn1 Sn 0.000 0.000 0.500 1